Computed, not measured: PrEr8Tm6 after structural relaxation at the PBE-GGA level of DFT.

a b c (Å): 9.339 9.339 6.405
angles (deg): 90.00 90.00 120.00
Fractional coordinates of all 15 atoms:
1 Pr 0.000 0.000 0.000
2 Er 0.026 0.686 0.408
3 Er 0.314 0.340 0.408
4 Er 0.333 0.667 0.668
5 Er 0.340 0.026 0.592
6 Er 0.660 0.974 0.408
7 Er 0.667 0.333 0.332
8 Er 0.686 0.660 0.592
9 Er 0.974 0.314 0.592
10 Tm 0.100 0.419 0.089
11 Tm 0.319 0.900 0.089
12 Tm 0.419 0.319 0.911
13 Tm 0.581 0.681 0.089
14 Tm 0.681 0.100 0.911
15 Tm 0.900 0.581 0.911

For the size of the total moment, the calculation gives 0.0 μB per formula unit. The total DFT energy (no corrections) is -64.64 eV for the cell shown. As for the energy relative to the lowest polymorph listed for this composition: 0.090 eV/atom.